Entry 1:
Computed, not measured: a geometry-optimized Zn2CoCu structure at the PBE-GGA level of DFT.

abc: 2.600 2.600 26.523
angles: 90.00 90.00 120.00
Sites, in units of the cell vectors:
Zn 0.000 0.000 0.000
Zn 0.000 0.000 0.239
Zn 0.333 0.667 0.667
Zn 0.333 0.667 0.906
Zn 0.667 0.333 0.333
Zn 0.667 0.333 0.572
Co 0.000 0.000 0.746
Co 0.333 0.667 0.413
Co 0.667 0.333 0.079
Cu 0.000 0.000 0.490
Cu 0.333 0.667 0.157
Cu 0.667 0.333 0.824

Results
Its formation energy is 0.19 eV/f.u. Its mass density is 8124 kg/m³. As for the symmetry: R3m. The magnetic moment comes out at 1.51 μB per formula unit.


Entry 2:
Computed, not measured: a geometry-optimized Zn2CoCu6 structure at the PBE-GGA level of DFT.

abc: 6.384 6.384 8.211
angles: 122.66 122.66 63.12
Sites, in units of the cell vectors:
Zn 0.098 0.307 0.042
Zn 0.307 0.098 0.542
Zn 0.693 0.902 0.458
Zn 0.902 0.693 0.958
Co 0.385 0.615 0.250
Co 0.615 0.385 0.750
Cu 0.008 0.808 0.331
Cu 0.151 0.600 0.731
Cu 0.192 0.992 0.169
Cu 0.301 0.434 0.430
Cu 0.400 0.849 0.769
Cu 0.434 0.301 0.930
Cu 0.566 0.699 0.070
Cu 0.600 0.151 0.231
Cu 0.699 0.566 0.570
Cu 0.808 0.008 0.831
Cu 0.849 0.400 0.269
Cu 0.992 0.192 0.669

Results
Its formation energy is 0.99 eV/f.u. Its mass density is 8210 kg/m³. As for the symmetry: C2/c. The magnetic moment comes out at 0.58 μB per formula unit.


Entry 3:
Computed, not measured: a geometry-optimized Zn2CoCu structure at the PBE-GGA level of DFT.

abc: 2.795 4.195 8.587
angles: 90.00 90.00 90.00
Sites, in units of the cell vectors:
Zn 0.000 0.000 0.000
Zn 0.000 0.500 0.240
Zn 0.500 0.000 0.740
Zn 0.500 0.500 0.500
Co 0.000 0.500 0.744
Co 0.500 0.000 0.244
Cu 0.000 0.000 0.489
Cu 0.500 0.500 0.989

Results
Its formation energy is 0.06 eV/f.u. Its mass density is 8357 kg/m³. As for the symmetry: Imm2. The magnetic moment comes out at 0.70 μB per formula unit.